Entry from Alexandria via LeMat-Bulk: a relaxed structure of MnClF (PBE+U).

Cell lengths 4.1314, 6.4617, 5.1664 Å; angles 66.42, 90.00, 71.40 degrees
With the nearest neighbours (Å) after each atom.
Element x y z (fractional)
Cl  0.4011  0.6984  0.1507  3 Mn 2.52-2.60
Cl  0.5989  0.3016  0.8493  3 Mn 2.52-2.60
F  0.8254  0.8487  0.5756  3 Mn 2.13-2.20
F  0.1746  0.1513  0.4244  3 Mn 2.13-2.20
Mn  0.6279  0.2451  0.3776  3 F 2.13-2.20
Mn  0.3721  0.7549  0.6224  3 F 2.13-2.20

E_tot (eV per atom): -5.72
Energy relative to the lowest polymorph listed for this composition (meV/atom): 0
Crystal system: orthorhombic
Density of states at the Fermi level (states/eV per cell): 0.000